[1]
# TcSe2Br

TcSe2Br after structural relaxation (PBE, Alexandria via LeMat-Bulk).

extended XYZ file:
```
8
Lattice="4.097 -0.019 -0.040 -1.563 9.595 0.254 -1.156 -3.051 5.635" Properties=species:S:1:pos:R:3 pbc="T T T"
Br 2.231 0.326 5.289
Br 1.045 4.038 3.587
Tc 1.612 -1.716 3.793
Tc 1.710 6.357 4.283
Se -1.003 6.519 2.220
Se 1.518 0.899 0.198
Se 3.287 -0.104 2.679
Se 1.702 8.253 0.804
```

Energy above the lowest structure with this stoichiometry in eV/atom: 0.148
Size of the total moment in μB/f.u.: 0.00
Formation energy without anion corrections in kJ/mol of formula units: -82
Total energy in eV/atom: -4.964
Symmetry: P1

---

[2]
# TcSe4Br

TcSe4Br after structural relaxation (PBE, Alexandria via LeMat-Bulk).

extended XYZ file:
```
6
Lattice="-4.484 -2.344 -2.694 -5.309 0.876 1.976 -3.638 3.320 -2.932" Properties=species:S:1:pos:R:3 pbc="T T T"
Se -7.275 -0.468 -2.709
Se -7.684 1.132 -0.390
Se -5.047 0.696 -1.371
Se -6.854 2.346 -2.828
Br 0.000 0.000 0.000
Tc -10.073 1.390 -2.737
```

Energy above the lowest structure with this stoichiometry in eV/atom: 1.088
Size of the total moment in μB/f.u.: 4.30
Formation energy without anion corrections in kJ/mol of formula units: 505
Total energy in eV/atom: -3.457
Symmetry: F-43m

---

[3]
# TcSeBr2

TcSeBr2 after structural relaxation (PBE, Alexandria via LeMat-Bulk).

extended XYZ file:
```
4
Lattice="-11.366 1.925 5.281 -11.923 -0.835 4.234 -10.617 -0.481 6.916" Properties=species:S:1:pos:R:3 pbc="T T T"
Se -16.953 0.304 8.215
Br -31.760 0.570 15.390
Br -2.147 0.039 1.040
Tc 0.000 0.000 0.000
```

Energy above the lowest structure with this stoichiometry in eV/atom: 0.688
Size of the total moment in μB/f.u.: 0.00
Formation energy without anion corrections in kJ/mol of formula units: 209
Total energy in eV/atom: -3.757
Symmetry: R-3m

---

[4]
# TcSe2Br

TcSe2Br after structural relaxation (PBE, Alexandria via LeMat-Bulk).

extended XYZ file:
```
8
Lattice="-1.626 5.011 -4.236 4.101 -2.631 -4.686 -2.535 -1.533 -6.234" Properties=species:S:1:pos:R:3 pbc="T T T"
Br 1.238 1.190 -4.461
Br 1.402 -1.487 -7.691
Se 1.881 -1.878 -4.613
Se -1.363 -0.007 -7.575
Se 0.656 0.682 -12.929
Se -1.292 2.897 -5.196
Tc 0.000 0.000 0.000
Tc -1.461 2.334 -7.466
```

Energy above the lowest structure with this stoichiometry in eV/atom: 0.420
Size of the total moment in μB/f.u.: 0.00
Formation energy without anion corrections in kJ/mol of formula units: 23
Total energy in eV/atom: -4.692
Symmetry: I-42d

---

[5]
# TcSe2Br

TcSe2Br after structural relaxation (PBE, Alexandria via LeMat-Bulk).

extended XYZ file:
```
8
Lattice="-0.432 -1.132 2.936 -7.791 -5.257 -3.169 4.140 -4.470 -2.831" Properties=species:S:1:pos:R:3 pbc="T T T"
Se 0.616 -2.395 0.819
Se -3.862 -7.931 -3.689
Se 1.770 -5.990 -0.398
Se -5.874 -5.769 -1.434
Br -0.369 -7.869 -3.150
Br -0.704 -3.977 -1.704
Tc 1.785 -3.666 -1.218
Tc -3.891 -10.272 -2.877
```

Energy above the lowest structure with this stoichiometry in eV/atom: 0.120
Size of the total moment in μB/f.u.: 0.00
Formation energy without anion corrections in kJ/mol of formula units: -93
Total energy in eV/atom: -4.992
Symmetry: Cm

---

[6]
# Tc2SeBr

Tc2SeBr after structural relaxation (PBE, Alexandria via LeMat-Bulk).

extended XYZ file:
```
4
Lattice="4.259 0.000 0.000 0.000 3.102 -0.123 0.000 1.046 6.682" Properties=species:S:1:pos:R:3 pbc="T T T"
Tc 2.129 1.159 1.111
Tc 0.000 2.629 0.237
Se 2.129 3.666 5.749
Br 0.000 1.870 2.620
```

Energy above the lowest structure with this stoichiometry in eV/atom: 0.135
Size of the total moment in μB/f.u.: 0.00
Formation energy without anion corrections in kJ/mol of formula units: 94
Total energy in eV/atom: -6.229
Symmetry: Pm

---

[7]
# TcSe2Br

TcSe2Br after structural relaxation (PBE, Alexandria via LeMat-Bulk).

extended XYZ file:
```
4
Lattice="2.647 -1.528 0.000 0.000 3.057 0.000 0.000 0.000 11.800" Properties=species:S:1:pos:R:3 pbc="T T T"
Se 1.765 0.000 3.750
Se 0.882 1.528 7.912
Tc 0.882 1.528 5.436
Br 0.000 0.000 0.072
```

Energy above the lowest structure with this stoichiometry in eV/atom: 0.429
Size of the total moment in μB/f.u.: 0.00
Formation energy without anion corrections in kJ/mol of formula units: 27
Total energy in eV/atom: -4.683
Symmetry: P3m1

---

[8]
# TcSe2Br

TcSe2Br after structural relaxation (PBE, Alexandria via LeMat-Bulk).

extended XYZ file:
```
16
Lattice="17.324 0.000 0.121 0.000 4.241 0.000 -6.183 0.000 5.315" Properties=species:S:1:pos:R:3 pbc="T T T"
Br 9.287 1.606 3.149
Br 3.717 0.514 0.430
Br 1.854 2.635 2.288
Br 7.424 3.727 5.006
Tc 15.935 2.716 0.191
Tc 6.959 0.596 2.648
Tc 4.182 3.646 2.788
Tc -4.795 1.525 5.245
Se 5.017 1.451 3.897
Se 6.123 2.790 1.539
Se -2.219 2.906 2.473
Se -0.553 0.670 1.179
Se 7.789 0.785 0.245
Se 13.360 1.336 2.963
Se 3.351 3.456 5.191
Se 11.694 3.572 4.257
```

Energy above the lowest structure with this stoichiometry in eV/atom: 0.282
Size of the total moment in μB/f.u.: 0.00
Formation energy without anion corrections in kJ/mol of formula units: -30
Total energy in eV/atom: -4.830
Symmetry: P2_1/c

---

[9]
# TcSe2Br

TcSe2Br after structural relaxation (PBE, Alexandria via LeMat-Bulk).

extended XYZ file:
```
4
Lattice="-7.104 5.565 0.095 -7.656 3.432 3.324 -5.246 6.508 3.402" Properties=species:S:1:pos:R:3 pbc="T T T"
Tc -10.207 7.910 3.480
Se -2.841 2.202 0.969
Se -11.903 9.225 4.058
Br -0.077 0.059 0.026
```

Energy above the lowest structure with this stoichiometry in eV/atom: 0.479
Size of the total moment in μB/f.u.: 0.00
Formation energy without anion corrections in kJ/mol of formula units: 46
Total energy in eV/atom: -4.633
Symmetry: R3m

---

[10]
# TcSe2Br

TcSe2Br after structural relaxation (PBE, Alexandria via LeMat-Bulk).

extended XYZ file:
```
4
Lattice="3.423 0.000 0.000 0.000 3.423 0.000 0.000 0.000 7.656" Properties=species:S:1:pos:R:3 pbc="T T T"
Se 1.711 1.711 2.247
Se 0.000 0.000 0.750
Br 1.711 1.711 5.229
Tc 0.000 0.000 3.258
```

Energy above the lowest structure with this stoichiometry in eV/atom: 0.689
Size of the total moment in μB/f.u.: 0.00
Formation energy without anion corrections in kJ/mol of formula units: 127
Total energy in eV/atom: -4.423
Symmetry: P4mm

---

[11]
# TcSe2Br

TcSe2Br after structural relaxation (PBE, Alexandria via LeMat-Bulk).

extended XYZ file:
```
4
Lattice="4.727 0.035 0.007 -1.458 4.497 0.007 1.628 2.257 3.820" Properties=species:S:1:pos:R:3 pbc="T T T"
Tc 3.177 1.146 1.913
Se 1.634 2.266 0.007
Se 0.000 0.000 0.000
Br 0.085 3.377 1.913
```

Energy above the lowest structure with this stoichiometry in eV/atom: 1.029
Size of the total moment in μB/f.u.: 1.20
Formation energy without anion corrections in kJ/mol of formula units: 258
Total energy in eV/atom: -4.083
Symmetry: I4/mmm

---

[12]
# TcSe2Br

TcSe2Br after structural relaxation (PBE, Alexandria via LeMat-Bulk).

extended XYZ file:
```
8
Lattice="3.502 0.001 0.004 -1.753 9.096 -0.019 -1.757 0.745 6.458" Properties=species:S:1:pos:R:3 pbc="T T T"
Se -1.076 2.005 5.691
Se 2.430 1.125 2.175
Se 0.677 7.954 1.210
Se -1.076 7.818 4.147
Br 0.677 3.593 3.233
Br -1.072 5.485 0.147
Tc 0.677 1.158 4.133
Tc -2.829 8.665 5.705
```

Energy above the lowest structure with this stoichiometry in eV/atom: 0.000
Size of the total moment in μB/f.u.: 0.63
Formation energy without anion corrections in kJ/mol of formula units: -139
Total energy in eV/atom: -5.112
Symmetry: C2/m

---

Number 1: calculated density 4.98 g cm⁻³. Number 2: calculated density 6.16 g cm⁻³. Number 3: calculated density 5.70 g cm⁻³. Number 4: calculated density 4.90 g cm⁻³. Number 5: calculated density 5.42 g cm⁻³. Number 6: calculated density 6.63 g cm⁻³. Number 7: calculated density 5.84 g cm⁻³. Number 8: calculated density 5.67 g cm⁻³. Number 9: calculated density 4.82 g cm⁻³. Number 10: calculated density 6.22 g cm⁻³. Number 11: calculated density 6.86 g cm⁻³. Number 12: calculated density 5.42 g cm⁻³.